DFT (PBE+U) results for a geometry-optimized MnPtPbO6 structure.

a = 5.1711 Å, b = 5.1711 Å, c = 9.4824 Å
α = 90.00°, β = 90.00°, γ = 120.00°
Closest atoms and distances in Å follow each position.
Space group P-31c (No. 163)
One atom of each set of equivalent atoms:
Mn1 0.3333 0.6667 0.2500 (multiplicity 2)  6 O 1.94
Pt1 0.3333 0.6667 0.7500 (multiplicity 2)  6 O 2.01
Pb1 0.0000 0.0000 0.0000 (multiplicity 2)  6 O 2.28
O1 0.0109 0.3700 0.1358 (multiplicity 12)  1 Mn 1.94, 1 Pt 2.01

Calculated total energy in eV per atom: -6.11